Material: AcPm3Er2
Method: DFT, PBE-GGA
State: optimized geometry

Calculated values
Size of the total moment: 0.00 μB/cell
Energy above the lowest structure with this stoichiometry: 1.72 eV/f.u.
Formation energy: 0.37 eV/atom

Unit cell a=3.5227 b=6.1698 c=10.4699 alpha=107.14 beta=99.69 gamma=90.00
Sites, in units of the cell vectors:
1 Er 0.3611 0.3611 0.7222
2 Er 0.6389 0.6389 0.2778
3 Pm 0.1920 0.1920 0.3839
4 Pm 0.0000 0.5000 0.0000
5 Pm 0.8080 0.8080 0.6161
6 Ac 0.0000 0.0000 0.0000

Material: Ac4PmEr2
Method: DFT, PBE-GGA
State: optimized geometry

Calculated values
Size of the total moment: 0.00 μB/cell
Formation energy: 0.12 eV/atom

Unit cell a=7.2613 b=7.2613 c=13.1767 alpha=96.80 beta=96.80 gamma=124.77
Sites, in units of the cell vectors:
1 Ac 0.2138 0.8613 0.8606
2 Ac 0.6741 0.7949 0.7912
3 Ac 0.2524 0.1037 0.1398
4 Ac 0.6321 0.2538 0.7093
5 Ac 0.2538 0.6321 0.2093
6 Ac 0.1037 0.2524 0.6398
7 Ac 0.8613 0.2138 0.3606
8 Ac 0.7949 0.6741 0.2912
9 Er 0.9967 0.6992 0.5652
10 Er 0.6992 0.9967 0.0652
11 Er 0.3836 0.1833 0.4351
12 Er 0.1833 0.3836 0.9351
13 Pm 0.7317 0.4805 0.0003
14 Pm 0.4805 0.7317 0.5003

Material: AcPm4Er7
Method: DFT, PBE-GGA
State: optimized geometry

Calculated values
Size of the total moment: 0.00 μB/cell
Energy above the lowest structure with this stoichiometry: 3.33 eV/f.u.
Formation energy: 0.30 eV/atom

Unit cell a=6.0462 b=11.5053 c=6.8602 alpha=83.20 beta=63.85 gamma=74.77
Sites, in units of the cell vectors:
1 Er 0.2166 0.0786 0.4881
2 Er 0.7834 0.9214 0.5119
3 Er 0.0558 0.6621 0.2262
4 Er 0.3654 0.5044 0.7649
5 Er 0.9442 0.3379 0.7738
6 Er 0.5000 0.0000 0.0000
7 Er 0.6346 0.4956 0.2351
8 Pm 0.6294 0.2242 0.5169
9 Pm 0.3706 0.7758 0.4831
10 Pm 0.7518 0.6789 0.8175
11 Pm 0.2482 0.3211 0.1825
12 Ac 0.0000 0.0000 0.0000

Material: AcPm8Er2
Method: DFT, PBE-GGA
State: optimized geometry

Calculated values
Size of the total moment: 0.00 μB/cell
Formation energy: 0.12 eV/atom

Unit cell a=5.6305 b=10.4826 c=10.4826 alpha=39.85 beta=93.34 gamma=93.34
Sites, in units of the cell vectors:
1 Er 0.7511 0.2852 0.2852
2 Er 0.2489 0.7148 0.7148
3 Pm 0.7288 0.8654 0.4073
4 Pm 0.7288 0.4073 0.8654
5 Pm 0.7588 0.4549 0.4549
6 Pm 0.2712 0.5927 0.1346
7 Pm 0.2335 0.1901 0.1901
8 Pm 0.2412 0.5451 0.5451
9 Pm 0.2712 0.1346 0.5927
10 Pm 0.7665 0.8099 0.8099
11 Ac 0.0000 0.0000 0.0000

Material: AcPm2Er
Method: DFT, PBE-GGA
State: optimized geometry

Calculated values
Size of the total moment: 0.00 μB/cell
Energy above the lowest structure with this stoichiometry: 0.00 eV/f.u.
Formation energy: 0.04 eV/atom

Unit cell a=5.2630 b=5.2043 c=5.2043 alpha=90.00 beta=90.00 gamma=90.00
Sites, in units of the cell vectors:
1 Pm 0.0000 0.0000 0.5000
2 Pm 0.0000 0.5000 0.0000
3 Ac 0.5000 0.0000 0.0000
4 Er 0.5000 0.5000 0.5000

Material: Ac2Pm3Er4
Method: DFT, PBE-GGA
State: optimized geometry

Calculated values
Size of the total moment: 0.00 μB/cell
Formation energy: 0.13 eV/atom

Unit cell a=5.6871 b=7.2681 c=15.8105 alpha=90.00 beta=90.00 gamma=90.00
Sites, in units of the cell vectors:
1 Er 0.0000 0.3662 0.3770
2 Er 0.0000 0.6338 0.6230
3 Er 0.0000 0.9075 0.7934
4 Er 0.5000 0.5925 0.2934
5 Er 0.0000 0.0925 0.2066
6 Er 0.5000 0.4075 0.7066
7 Er 0.5000 0.1338 0.8770
8 Er 0.5000 0.8662 0.1230
9 Pm 0.5000 0.5000 0.5000
10 Pm 0.0000 0.0000 0.0000
11 Pm 0.5000 0.1073 0.3299
12 Pm 0.0000 0.3927 0.8299
13 Pm 0.0000 0.6073 0.1701
14 Pm 0.5000 0.8927 0.6701
15 Ac 0.5000 0.3353 0.0957
16 Ac 0.5000 0.6647 0.9043
17 Ac 0.0000 0.8353 0.4043
18 Ac 0.0000 0.1647 0.5957

Material: Ac2Pm5Er6
Method: DFT, PBE-GGA
State: optimized geometry

Calculated values
Size of the total moment: 0.00 μB/cell
Formation energy: 0.11 eV/atom

Unit cell a=3.6545 b=11.9467 c=20.5634 alpha=90.00 beta=90.00 gamma=90.00
Sites, in units of the cell vectors:
1 Ac 0.0000 0.6650 0.7235
2 Ac 0.0000 0.8350 0.2235
3 Ac 0.0000 0.1650 0.7765
4 Ac 0.0000 0.3350 0.2765
5 Er 0.0000 0.9385 0.9264
6 Er 0.0000 0.5706 0.1389
7 Er 0.5000 0.3158 0.1192
8 Er 0.5000 0.6842 0.8808
9 Er 0.0000 0.4294 0.8611
10 Er 0.5000 0.1842 0.6192
11 Er 0.0000 0.4385 0.5736
12 Er 0.0000 0.0706 0.3611
13 Er 0.0000 0.0615 0.0736
14 Er 0.0000 0.5615 0.4264
15 Er 0.5000 0.8158 0.3808
16 Er 0.0000 0.9294 0.6389
17 Pm 0.5000 0.9050 0.7849
18 Pm 0.5000 0.4050 0.7151
19 Pm 0.5000 0.2011 0.9468
20 Pm 0.5000 0.5000 0.0000
21 Pm 0.5000 0.5950 0.2849
22 Pm 0.5000 0.0000 0.5000
23 Pm 0.5000 0.0950 0.2151
24 Pm 0.5000 0.2989 0.4468
25 Pm 0.5000 0.7011 0.5532
26 Pm 0.5000 0.7989 0.0532

Material: AcPm6Er12
Method: DFT, PBE-GGA
State: optimized geometry

Calculated values
Size of the total moment: 0.00 μB/cell
Formation energy: 0.21 eV/atom

Unit cell a=8.7384 b=8.7384 c=8.7384 alpha=98.98 beta=98.98 gamma=98.98
Sites, in units of the cell vectors:
1 Er 0.5000 0.2422 0.7578
2 Er 0.2422 0.7578 0.5000
3 Er 0.7578 0.2422 0.5000
4 Er 0.6440 0.6440 0.9196
5 Er 0.5000 0.7578 0.2422
6 Er 0.3560 0.0804 0.3560
7 Er 0.9196 0.6440 0.6440
8 Er 0.3560 0.3560 0.0804
9 Er 0.7578 0.5000 0.2422
10 Er 0.6440 0.9196 0.6440
11 Er 0.0804 0.3560 0.3560
12 Er 0.2422 0.5000 0.7578
13 Pm 0.1033 0.1033 0.6507
14 Pm 0.1033 0.6507 0.1033
15 Pm 0.8967 0.8967 0.3493
16 Pm 0.6507 0.1033 0.1033
17 Pm 0.8967 0.3493 0.8967
18 Pm 0.3493 0.8967 0.8967
19 Ac 0.0000 0.0000 0.0000

Material: Ac2Pm8Er
Method: DFT, PBE-GGA
State: optimized geometry

Calculated values
Size of the total moment: 0.00 μB/cell
Energy above the lowest structure with this stoichiometry: 0.51 eV/f.u.
Formation energy: 0.19 eV/atom

Unit cell a=5.7600 b=10.5862 c=10.5862 alpha=39.41 beta=93.21 gamma=93.21
Sites, in units of the cell vectors:
1 Pm 0.7320 0.3841 0.8584
2 Pm 0.2237 0.1753 0.1753
3 Pm 0.2680 0.1416 0.6159
4 Pm 0.7320 0.8584 0.3841
5 Pm 0.2680 0.6159 0.1416
6 Pm 0.7666 0.4557 0.4557
7 Pm 0.2334 0.5443 0.5443
8 Pm 0.7763 0.8247 0.8247
9 Ac 0.2581 0.7190 0.7190
10 Ac 0.7419 0.2810 0.2810
11 Er 0.0000 0.0000 0.0000

Material: AcPmEr
Method: DFT, PBE-GGA
State: optimized geometry

Calculated values
Size of the total moment: 0.00 μB/cell
Energy above the lowest structure with this stoichiometry: 0.01 eV/f.u.
Formation energy: 0.06 eV/atom

Unit cell a=5.9916 b=3.7842 c=9.8554 alpha=78.96 beta=90.01 gamma=90.00
Sites, in units of the cell vectors:
1 Ac 0.4280 0.5348 0.0250
2 Ac 0.9279 0.9733 0.1483
3 Er 0.4281 0.8598 0.3760
4 Er 0.9281 0.6496 0.7973
5 Pm 0.4281 0.2034 0.6903
6 Pm 0.9281 0.3058 0.4830

Material: Ac2Pm6Er3
Method: DFT, PBE-GGA
State: optimized geometry

Calculated values
Size of the total moment: 0.00 μB/cell
Formation energy: 0.04 eV/atom

Unit cell a=3.6913 b=3.6913 c=32.7368 alpha=86.77 beta=86.77 gamma=60.00
Sites, in units of the cell vectors:
1 Pm 0.1817 0.1817 0.4549
2 Pm 0.9124 0.9124 0.2628
3 Pm 0.6375 0.6375 0.0874
4 Pm 0.3625 0.3625 0.9126
5 Pm 0.0876 0.0876 0.7372
6 Pm 0.8183 0.8183 0.5451
7 Ac 0.4530 0.4530 0.6411
8 Ac 0.5470 0.5470 0.3589
9 Er 0.2749 0.2749 0.1753
10 Er 0.0000 0.0000 0.0000
11 Er 0.7251 0.7251 0.8247

Material: Ac4Pm5Er2
Method: DFT, PBE-GGA
State: optimized geometry

Calculated values
Size of the total moment: 0.00 μB/cell
Formation energy: 0.05 eV/atom

Unit cell a=5.3399 b=8.2957 c=11.2740 alpha=121.46 beta=103.70 gamma=90.00
Sites, in units of the cell vectors:
1 Ac 0.0434 0.3581 0.0869
2 Ac 0.3180 0.5429 0.6360
3 Ac 0.9566 0.6419 0.9131
4 Ac 0.6820 0.4571 0.3640
5 Pm 0.5000 0.0000 0.0000
6 Pm 0.1381 0.0850 0.2761
7 Pm 0.7737 0.1722 0.5474
8 Pm 0.8619 0.9150 0.7239
9 Pm 0.2263 0.8278 0.4526
10 Er 0.5918 0.7344 0.1836
11 Er 0.4082 0.2656 0.8164

Material: Ac2Pm5Er
Method: DFT, PBE-GGA
State: optimized geometry

Calculated values
Size of the total moment: 0.00 μB/cell
Formation energy: 0.04 eV/atom

Unit cell a=5.2877 b=5.2877 c=11.0490 alpha=103.84 beta=103.84 gamma=90.00
Sites, in units of the cell vectors:
1 Ac 0.7502 0.7502 0.5005
2 Ac 0.2498 0.2498 0.4995
3 Pm 0.1184 0.6184 0.2369
4 Pm 0.3816 0.8816 0.7631
5 Pm 0.8816 0.3816 0.7631
6 Pm 0.6184 0.1184 0.2369
7 Pm 0.5000 0.5000 0.0000
8 Er 0.0000 0.0000 0.0000

Material: AcPmEr
Method: DFT, PBE-GGA
State: optimized geometry

Calculated values
Size of the total moment: 0.00 μB/cell
Energy above the lowest structure with this stoichiometry: 0.42 eV/f.u.
Formation energy: 0.20 eV/atom

Unit cell a=3.6208 b=6.2445 c=5.9775 alpha=61.44 beta=90.01 gamma=73.08
Sites, in units of the cell vectors:
1 Pm 0.5996 0.7496 0.0982
2 Er 0.4135 0.1229 0.4102
3 Ac 0.2293 0.4935 0.7251

Material: AcPmPr5Er2
Method: DFT, PBE-GGA
State: optimized geometry

Calculated values
Size of the total moment: 0.00 μB/cell
Formation energy: 0.14 eV/atom

Unit cell a=5.6345 b=12.5571 c=9.6098 alpha=90.00 beta=90.00 gamma=102.97
Sites, in units of the cell vectors:
1 Ac 0.6028 0.2055 0.9248
2 Ac 0.3972 0.7945 0.4248
3 Pr 0.0079 0.0158 0.5373
4 Pr 0.6052 0.2104 0.5335
5 Pr 0.9921 0.9842 0.0373
6 Pr 0.5248 0.0495 0.2545
7 Pr 0.4752 0.9505 0.7545
8 Pr 0.2595 0.5190 0.3548
9 Pr 0.3948 0.7896 0.0335
10 Pr 0.7405 0.4810 0.8548
11 Pr 0.6880 0.3761 0.2258
12 Pr 0.3120 0.6239 0.7258
13 Er 0.1735 0.3470 0.6695
14 Er 0.8881 0.7762 0.7914
15 Er 0.8265 0.6530 0.1695
16 Er 0.1119 0.2238 0.2914
17 Pm 0.7663 0.5326 0.5323
18 Pm 0.2337 0.4674 0.0323

Material: AcPm6Pr3Er2
Method: DFT, PBE-GGA
State: optimized geometry

Calculated values
Size of the total moment: 0.00 μB/cell
Formation energy: 0.03 eV/atom

Unit cell a=6.3500 b=6.3500 c=12.2045 alpha=94.98 beta=94.98 gamma=119.97
Sites, in units of the cell vectors:
1 Pm 0.2527 0.2527 0.7504
2 Pm 0.7473 0.7473 0.2496
3 Pm 0.5794 0.9160 0.7508
4 Pm 0.0840 0.4206 0.2492
5 Pm 0.9160 0.5794 0.7508
6 Pm 0.4206 0.0840 0.2492
7 Pr 0.5000 0.5000 0.5000
8 Pr 0.8328 0.1672 0.5000
9 Pr 0.1672 0.8328 0.5000
10 Er 0.3334 0.6666 0.0000
11 Er 0.6666 0.3334 0.0000
12 Ac 0.0000 0.0000 0.0000

Material: AcPmPr2Er5
Method: DFT, PBE-GGA
State: optimized geometry

Calculated values
Size of the total moment: 0.00 μB/cell
Formation energy: 0.25 eV/atom

Unit cell a=8.8115 b=8.8115 c=10.0423 alpha=116.02 beta=116.02 gamma=90.00
Sites, in units of the cell vectors:
1 Er 0.5737 0.6587 0.7324
2 Er 0.0000 0.0000 0.0000
3 Er 0.6587 0.1587 0.7324
4 Er 0.4263 0.3413 0.2676
5 Er 0.8413 0.9263 0.2676
6 Er 0.9263 0.4263 0.2676
7 Er 0.5000 0.5000 0.0000
8 Er 0.3413 0.8413 0.2676
9 Er 0.1587 0.0737 0.7324
10 Er 0.0737 0.5737 0.7324
11 Pr 0.8823 0.6177 0.0000
12 Pr 0.3823 0.8823 0.0000
13 Pr 0.1177 0.3823 0.0000
14 Pr 0.6177 0.1177 0.0000
15 Pm 0.7500 0.2500 0.5000
16 Pm 0.2500 0.7500 0.5000
17 Ac 0.7500 0.7500 0.5000
18 Ac 0.2500 0.2500 0.5000

Material: Ac2Pm5PrEr
Method: DFT, PBE-GGA
State: optimized geometry

Calculated values
Size of the total moment: 0.00 μB/cell
Formation energy: 0.14 eV/atom

Unit cell a=5.8550 b=10.7114 c=10.9638 alpha=90.00 beta=90.00 gamma=105.86
Sites, in units of the cell vectors:
1 Ac 0.1141 0.2282 0.7310
2 Ac 0.8831 0.7661 0.8176
3 Ac 0.1169 0.2339 0.3176
4 Ac 0.8859 0.7718 0.2310
5 Pm 0.2951 0.5902 0.7050
6 Pm 0.2816 0.5632 0.3131
7 Pm 0.4833 0.9667 0.7419
8 Pm 0.7184 0.4368 0.8131
9 Pm 0.0186 0.0373 0.0212
10 Pm 0.9814 0.9627 0.5212
11 Pm 0.7049 0.4098 0.2050
12 Pm 0.3860 0.7720 0.0195
13 Pm 0.5167 0.0333 0.2419
14 Pm 0.6140 0.2280 0.5195
15 Pr 0.5896 0.1791 0.9647
16 Pr 0.4104 0.8209 0.4647
17 Er 0.2057 0.4115 0.0101
18 Er 0.7943 0.5885 0.5101

Material: AcPmPr2Er4
Method: DFT, PBE-GGA
State: optimized geometry

Calculated values
Size of the total moment: 0.03 μB/cell
Formation energy: 0.42 eV/atom

Unit cell a=9.6647 b=9.6647 c=12.0200 alpha=128.45 beta=128.45 gamma=88.33
Sites, in units of the cell vectors:
1 Er 0.7427 0.7587 0.5029
2 Er 0.7413 0.7572 0.9971
3 Er 0.2639 0.7601 0.5120
4 Er 0.2573 0.2413 0.4971
5 Er 0.7399 0.2361 0.9880
6 Er 0.2587 0.2428 0.0029
7 Er 0.2602 0.7639 0.0120
8 Er 0.7361 0.2398 0.4880
9 Pm 0.0000 0.0000 0.0000
10 Pm 0.5000 0.5000 0.5000
11 Pr 0.5000 0.5000 0.0000
12 Pr 0.5000 0.0000 0.5000
13 Pr 0.0000 0.0000 0.5000
14 Pr 0.5000 0.0000 0.0000
15 Ac 0.0000 0.5000 0.0000
16 Ac 0.0000 0.5000 0.5000

Material: AcPm2Pr2Er2
Method: DFT, PBE-GGA
State: optimized geometry

Calculated values
Size of the total moment: 0.00 μB/cell
Formation energy: 0.04 eV/atom

Unit cell a=5.2147 b=6.3804 c=8.1960 alpha=97.52 beta=90.00 gamma=114.12
Sites, in units of the cell vectors:
1 Er 0.1422 0.2844 0.4340
2 Er 0.8578 0.7156 0.5660
3 Pm 0.5740 0.1481 0.7064
4 Pm 0.4260 0.8519 0.2936
5 Ac 0.0000 0.0000 0.0000
6 Pr 0.7144 0.4288 0.1524
7 Pr 0.2856 0.5712 0.8476